[1]
This record from the Alexandria database describes an optimized crystal structure of Pm8Ho3Tl. The functional is GGA-PBE.

## Properties
E_tot = -4.04 eV/atom
calculated volume = 436 Å³ per cell
crystal system = tetragonal
space-group type = I-42m (121)
formation energy = 0.470 eV/atom

a b c (Å): 8.431 8.431 8.431
angles (deg): 93.59 117.95 117.95
Atoms (fractional coordinates):
Tl 0.000 0.000 0.000
Pm 0.000 0.617 0.873
Pm 0.488 0.766 0.766
Pm 0.000 0.722 0.234
Pm 0.256 0.383 0.383
Pm 0.512 0.278 0.278
Pm 0.000 0.234 0.722
Pm 0.744 0.127 0.127
Pm 0.000 0.873 0.617
Ho 0.000 0.500 0.500
Ho 0.500 0.750 0.250
Ho 0.500 0.250 0.750



[2]
This record from the Alexandria database describes an optimized crystal structure of NbPdSe2N. The functional is GGA-PBE.

## Properties
energy above the lowest structure with this stoichiometry = 0.000 eV per atom
E_tot = -5.85 eV/atom
calculated volume = 103 Å³ per cell
crystal system = tetragonal
space-group type = P4/mmm (123)

a b c (Å): 5.158 5.158 3.857
angles (deg): 90.00 90.00 90.00
Atoms (fractional coordinates):
Se 0.000 0.500 0.000
Se 0.500 0.000 0.000
N 0.000 0.000 0.500
Pd 0.500 0.500 0.500
Nb 0.000 0.000 0.000



[3]
This record from the Alexandria database describes an optimized crystal structure of CaTmHg6. The functional is GGA-PBE.

## Properties
energy above the lowest structure with this stoichiometry = 0.000 eV per atom
E_tot = -1.38 eV/atom
calculated volume = 194 Å³ per cell
crystal system = orthorhombic
space-group type = Amm2 (38)
formation energy = -0.341 eV/atom

a b c (Å): 5.117 6.583 6.583
angles (deg): 118.95 90.00 90.00
Atoms (fractional coordinates):
Hg 0.000 0.073 0.407
Hg 0.500 0.911 0.583
Hg 0.000 0.593 0.927
Hg 0.500 0.921 0.079
Hg 0.500 0.417 0.089
Hg 0.000 0.583 0.417
Ca 0.500 0.410 0.590
Tm 0.000 0.090 0.910



[4]
This record from the Alexandria database describes an optimized crystal structure of Cs2Ho2RhO6. The functional is GGA-PBE.

## Properties
E_tot = -6.47 eV/atom
calculated volume = 204 Å³ per cell
crystal system = monoclinic
space-group type = C2/m (12)

a b c (Å): 5.816 5.816 7.175
angles (deg): 97.20 97.20 119.63
Last column: magnetic moment on the atom in μB.
Atoms (fractional coordinates):
O 0.954 0.642 0.345  0.06
O 0.259 0.259 0.344  0.06
O 0.642 0.954 0.345  0.06
O 0.046 0.358 0.655  0.06
O 0.358 0.046 0.655  0.06
O 0.741 0.741 0.656  0.06
Rh 0.000 0.000 0.500  0.62
Ho 0.335 0.665 0.500  0.02
Ho 0.665 0.335 0.500  0.02
Cs 0.834 0.166 0.000  0.00
Cs 0.166 0.834 0.000  0.00